Here is an optimized crystal structure of Ca3Sn2Hg4Au2 from the Alexandria database. Energies are from PBE-GGA.

The structure in POSCAR format:
```
Ca3Sn2Hg4Au2
1.0
4.907 0.000 0.000
-2.454 4.250 0.000
0.000 0.000 13.884
Ca Sn Hg Au
3 2 4 2
Direct
0.000 0.000 0.000
0.000 0.000 0.254
0.000 0.000 0.746
0.333 0.667 0.600
0.667 0.333 0.400
0.333 0.667 0.372
0.333 0.667 0.874
0.667 0.333 0.126
0.667 0.333 0.628
0.333 0.667 0.128
0.667 0.333 0.872
```

Computed properties:
**N(E_F)**: 4.2 states/eV/f.u.
**Energy of formation**: -0.419 eV/atom
**Space group**: P-3m1
**M_tot**: 0.00 μB/atom
**Crystal system**: trigonal